! GGA-PBE HoEr2Mg3Ir3, relaxed; values from VASP
! magnetic moment: 0.0 μB per formula unit
! electronic total energy: -5.69 eV per atom
&SYSTEM
  ibrav = 0, nat = 9, ntyp = 4
/
ATOMIC_SPECIES
Ho 164.93 Ho.upf
Er 167.26 Er.upf
Mg 24.30 Mg.upf
Ir 192.22 Ir.upf
CELL_PARAMETERS angstrom
4.0410 0.0000 0.0000
0.0000 6.2485 3.6054
0.0000 -6.2485 3.6054
ATOMIC_POSITIONS crystal
Ho 0.0000 0.0000 0.0000
Er 0.0000 0.1831 0.5913
Er 0.0000 0.5913 0.1831
Mg 0.5000 0.3453 0.3453
Mg 0.5000 0.5910 0.8372
Mg 0.5000 0.8372 0.5910
Ir 0.0000 0.5907 0.5907
Ir 0.5000 0.2586 0.9243
Ir 0.5000 0.9243 0.2586